Material: BeZn2As
Method: DFT, PBE-GGA
State: optimized geometry

abc: 3.6639 3.6639 8.8729
angles: 90.00 90.00 90.00
Last column: nearest neighbours and their distance in Å.
Space group I4/mmm (No. 139)
One atom of each set of equivalent atoms:
Be 0.0000 0.0000 0.0000 x2  4 As 2.59, 8 Zn 2.88
Zn 0.0000 0.5000 0.2500 x4  4 Zn 2.59, 4 As 2.88, 4 Be 2.88
As 0.0000 0.0000 0.5000 x2  4 Be 2.59, 8 Zn 2.88

Polymorph energy (0 for the lowest one) (eV per atom): 0.118
Magnetization (μB/f.u.): 0.0
ΔH_f (0 K) (eV/atom): 0.29
N(E_F) (states/eV/atom): 0.285